(1)
## Th2PaAl (PBE)

Data for crystalline Th2PaAl at its relaxed geometry.

* energy relative to the lowest polymorph listed for this composition: 6.327 kcal/mol of atoms
* energy relative to the elements: 0.25 eV per atom

abc: 3.270 3.270 35.091
angles: 90.00 90.00 120.00
Positions (direct):
1 Th 0.000 0.000 0.092
2 Th 0.000 0.000 0.908
3 Th 0.333 0.667 0.575
4 Th 0.333 0.667 0.758
5 Th 0.667 0.333 0.242
6 Th 0.667 0.333 0.425
7 Pa 0.000 0.000 0.000
8 Pa 0.333 0.667 0.667
9 Pa 0.667 0.333 0.333
10 Al 0.000 0.000 0.500
11 Al 0.333 0.667 0.167
12 Al 0.667 0.333 0.833

=====

(2)
## LiNdBr2 (PBE)

Data for crystalline LiNdBr2 at its relaxed geometry.

* raw total energy: -3.717 eV/atom

abc: 3.959 3.959 26.363
angles: 90.00 90.00 120.00
Positions (direct):
1 Li 0.000 0.000 0.000
2 Li 0.333 0.667 0.667
3 Li 0.667 0.333 0.333
4 Nd 0.000 0.000 0.500
5 Nd 0.333 0.667 0.167
6 Nd 0.667 0.333 0.833
7 Br 0.000 0.000 0.391
8 Br 0.000 0.000 0.609
9 Br 0.333 0.667 0.057
10 Br 0.333 0.667 0.276
11 Br 0.667 0.333 0.724
12 Br 0.667 0.333 0.943

=====

(3)
## NaAc3Cd4 (PBE)

Data for crystalline NaAc3Cd4 at its relaxed geometry.

* energy relative to the elements: -0.24 eV per atom

abc: 9.882 9.882 9.882
angles: 33.36 33.36 33.36
Positions (direct):
1 Na 0.000 0.000 0.000
2 Ac 0.253 0.253 0.253
3 Ac 0.500 0.500 0.500
4 Ac 0.747 0.747 0.747
5 Cd 0.123 0.123 0.123
6 Cd 0.374 0.374 0.374
7 Cd 0.626 0.626 0.626
8 Cd 0.877 0.877 0.877